CuPtO3: relaxed, PBE.

Its uncorrected formation energy is -50 kJ per mole of atoms.

It has space group Cmmm (No. 65), with a = 7.085 Å, b = 9.986 Å, c = 3.170 Å, α = 90.00°, β = 90.00° and γ = 90.00°. Symmetry generates all atoms from Cu at (0.000, 0.000, 0.000), Cu at (0.000, 0.500, 0.000), Pt at (0.250, 0.250, 0.500), O at (0.000, 0.142, 0.500) and O at (0.199, 0.372, 0.000).